Density functional theory data (PBE-GGA) for a geometry-optimized Pm4Y19Th6 structure.

Energy relative to the elements   429.4 meV/atom
Theoretical density   6.15 g cm⁻³

a = 10.871 Å, b = 10.871 Å, c = 10.870 Å
α = 109.47°, β = 109.47°, γ = 109.47°
Fractional positions:
Pm  0.000  0.000  0.642
Pm  0.000  0.642  0.000
Pm  0.358  0.358  0.358
Pm  0.642  0.000  0.000
Y  0.736  0.000  0.736
Y  0.264  0.000  0.264
Y  0.264  0.264  0.000
Y  0.736  0.736  0.000
Y  0.000  0.736  0.736
Y  0.000  0.264  0.264
Y  0.000  0.000  0.000
Y  0.196  0.214  0.539
Y  0.804  0.343  0.018
Y  0.675  0.657  0.461
Y  0.018  0.804  0.343
Y  0.325  0.786  0.982
Y  0.539  0.196  0.214
Y  0.982  0.325  0.786
Y  0.461  0.675  0.657
Y  0.786  0.982  0.325
Y  0.343  0.018  0.804
Y  0.214  0.539  0.196
Y  0.657  0.461  0.675
Th  0.373  0.500  0.873
Th  0.627  0.500  0.127
Th  0.127  0.627  0.500
Th  0.873  0.373  0.500
Th  0.500  0.873  0.373
Th  0.500  0.127  0.627

Density functional theory data (PBE-GGA) for a geometry-optimized ScTl2Ga structure.

Energy relative to the elements   185.2 meV/atom
Polymorph energy (0 for the lowest one)   0.337 eV/atom
Theoretical density   8.10 g cm⁻³

a = 3.369 Å, b = 3.369 Å, c = 11.088 Å
α = 81.26°, β = 81.26°, γ = 60.00°
Fractional positions:
Sc  0.000  0.000  0.000
Tl  0.090  0.090  0.729
Tl  0.910  0.910  0.271
Ga  0.500  0.500  0.500

Density functional theory data (PBE-GGA) for a geometry-optimized YRuSe2N structure.

ΔE_f (raw)   -0.477 eV per atom
Polymorph energy (0 for the lowest one)   0.000 eV/atom
Theoretical density   6.21 g cm⁻³

a = 5.104 Å, b = 5.104 Å, c = 3.717 Å
α = 90.00°, β = 90.00°, γ = 90.00°
Fractional positions:
Y  0.500  0.500  0.500
Ru  0.000  0.000  0.000
Se  0.000  0.500  0.000
Se  0.500  0.000  0.000
N  0.000  0.000  0.500

Density functional theory data (PBE-GGA) for a geometry-optimized MgAl2Rh2 structure.

Energy relative to the elements   -828.5 meV/atom
Polymorph energy (0 for the lowest one)   0.000 eV/atom
Theoretical density   6.25 g cm⁻³

a = 7.218 Å, b = 7.218 Å, c = 2.895 Å
α = 90.00°, β = 90.00°, γ = 90.00°
Fractional positions:
Mg  0.000  0.000  0.000
Mg  0.500  0.500  0.000
Rh  0.163  0.663  0.500
Rh  0.663  0.837  0.500
Rh  0.837  0.337  0.500
Rh  0.337  0.163  0.500
Al  0.368  0.868  0.000
Al  0.868  0.632  0.000
Al  0.632  0.132  0.000
Al  0.132  0.368  0.000

The lowest theoretical density belongs to which entry?
Pm4Y19Th6

Which value of theoretical density does entry 3 give?
6.21 g cm⁻³